Compound: TeOsRuI2
Source: Alexandria via LeMat-Bulk
Functional: PBE-GGA
Structure: relaxed

The structure in CIF format:
```
data_TeOsRuI2
_cell_length_a 6.167
_cell_length_b 6.167
_cell_length_c 4.909
_cell_angle_alpha 90.00
_cell_angle_beta 90.00
_cell_angle_gamma 90.00
_symmetry_space_group_name_H-M 'P 4/m m m'
_symmetry_Int_Tables_number 123
_symmetry_space_group_name_Hall '-P 4 2'
loop_
_atom_site_label
_atom_site_type_symbol
_atom_site_fract_x
_atom_site_fract_y
_atom_site_fract_z
Te1 Te 0.000 0.000 0.000
Os1 Os 0.000 0.000 0.500
Ru1 Ru 0.500 0.500 0.500
I1 I 0.000 0.500 0.000
```

Computed properties:
Calculated volume (Å³ per cell): 187
ΔE_f (raw) (meV per atom): 2005
E above lowest polymorph (eV/atom): 0.5601
Fermi-level density of states (states/eV per cell): 9.132
Calculated density (g/cm3): 5.98

---

Compound: TeOsRuI2
Source: Alexandria via LeMat-Bulk
Functional: PBE-GGA
Structure: relaxed

The structure in CIF format:
```
data_TeOsRuI2
_cell_length_a 5.405
_cell_length_b 5.405
_cell_length_c 5.066
_cell_angle_alpha 90.00
_cell_angle_beta 90.00
_cell_angle_gamma 90.00
_symmetry_space_group_name_H-M 'P 4/m m m'
_symmetry_Int_Tables_number 123
_symmetry_space_group_name_Hall '-P 4 2'
loop_
_atom_site_label
_atom_site_type_symbol
_atom_site_fract_x
_atom_site_fract_y
_atom_site_fract_z
Te1 Te 0.000 0.000 0.000
Os1 Os 0.500 0.500 0.000
Ru1 Ru 0.000 0.000 0.500
I1 I 0.000 0.500 0.500
```

Computed properties:
Calculated volume (Å³ per cell): 148
ΔE_f (raw) (meV per atom): 1566
E above lowest polymorph (eV/atom): 0.1211
Fermi-level density of states (states/eV per cell): 4.540
Calculated density (g/cm3): 7.55